Arrangement a

The following is a PBE calculation of crystalline CeTmS2 at its relaxed geometry, from the Alexandria database.

Cell: 7.2670 7.2670 7.2670 Å, 30.60 30.60 30.60°
With the nearest neighbours (Å) after each atom.
Fractional coordinates of all 4 atoms:
Ce 0.0000 0.0000 0.0000  6 S 2.84-2.97
Tm 0.1757 0.1757 0.1757  6 S 2.67-2.77
S 0.5808 0.5808 0.5808  3 Tm 2.67, 3 Ce 2.84
S 0.7619 0.7619 0.7619  3 Tm 2.77, 3 Ce 2.97

Results
Space group = R3m (160)
Fermi-level density of states = 1.610 states/eV/atom
Crystal system = trigonal
Magnetization = 1.1 μB per cell

---

Arrangement b

The following is a PBE calculation of crystalline CeTmS2 at its relaxed geometry, from the Alexandria database.

Cell: 6.9196 6.9196 6.9196 Å, 32.74 32.74 32.74°
With the nearest neighbours (Å) after each atom.
Fractional coordinates of all 4 atoms:
Ce 0.0000 0.0000 0.0000  6 S 2.85
Tm 0.5000 0.5000 0.5000  6 S 2.72
S 0.2441 0.2441 0.2441  3 Tm 2.72, 3 Ce 2.85
S 0.7559 0.7559 0.7559  3 Tm 2.72, 3 Ce 2.85

Results
Space group = R-3m (166)
Fermi-level density of states = 1.334 states/eV/atom
Crystal system = trigonal
Magnetization = 0.8 μB per cell

---

Verdict on stability: arrangement b comes out on top.

---

Arrangement a

The following is a PBE calculation of crystalline CeTmS4 at its relaxed geometry, from the Alexandria database.

Cell: 7.6536 7.6536 7.6536 Å, 107.97 107.97 112.51°
With the nearest neighbours (Å) after each atom.
Fractional coordinates of all 12 atoms:
Ce 0.3750 0.6250 0.7500  8 S 2.73-3.05
Ce 0.6250 0.3750 0.2500  8 S 2.73-3.05
Tm 0.1250 0.8750 0.2500  4 S 2.52
Tm 0.8750 0.1250 0.7500  4 S 2.52
S 0.1150 0.6660 0.4490  1 Tm 2.52, 1 Ce 2.73
S 0.2831 0.3340 0.9490  1 Tm 2.52, 1 Ce 2.73
S 0.3340 0.2831 0.4490  1 Tm 2.52, 1 Ce 2.73
S 0.3340 0.8850 0.0510  1 Tm 2.52, 1 Ce 2.73
S 0.6660 0.1150 0.9490  1 Tm 2.52, 1 Ce 2.73
S 0.6660 0.7169 0.5510  1 Tm 2.52, 1 Ce 2.73
S 0.7169 0.6660 0.0510  1 Tm 2.52, 1 Ce 2.73
S 0.8850 0.3340 0.5510  1 Tm 2.52, 1 Ce 2.73

Results
Space group = I4_1/amd (141)
Fermi-level density of states = 1.417 states/eV/atom
Crystal system = tetragonal
Magnetization = 0.1 μB per cell

---

Arrangement b

The following is a PBE calculation of crystalline CeTmS4 at its relaxed geometry, from the Alexandria database.

Cell: 7.2279 7.2279 6.8075 Å, 113.11 113.11 101.85°
With the nearest neighbours (Å) after each atom.
Fractional coordinates of all 12 atoms:
Ce 0.1299 0.8701 0.7500  8 S 2.81-2.88
Ce 0.8701 0.1299 0.2500  8 S 2.81-2.88
Tm 0.4864 0.5136 0.2500  8 S 2.75-2.87
Tm 0.5136 0.4864 0.7500  8 S 2.75-2.87
S 0.1454 0.2707 0.7565  2 Tm 2.75-2.82, 2 Ce 2.81-2.86, 2 S 2.90-3.03
S 0.1810 0.5362 0.3955  2 Tm 2.76-2.87, 2 Ce 2.81-2.88, 2 S 2.90-3.03
S 0.2707 0.1454 0.2565  2 Tm 2.75-2.82, 2 Ce 2.81-2.86, 2 S 2.90-3.03
S 0.4638 0.8190 0.1045  2 Tm 2.76-2.87, 2 Ce 2.81-2.88, 2 S 2.90-3.03
S 0.5362 0.1810 0.8955  2 Tm 2.76-2.87, 2 Ce 2.81-2.88, 2 S 2.90-3.03
S 0.7293 0.8546 0.7435  2 Tm 2.75-2.82, 2 Ce 2.81-2.86, 2 S 2.90-3.03
S 0.8190 0.4638 0.6045  2 Tm 2.76-2.87, 2 Ce 2.81-2.88, 2 S 2.90-3.03
S 0.8546 0.7293 0.2435  2 Tm 2.75-2.82, 2 Ce 2.81-2.86, 2 S 2.90-3.03

Results
Space group = C2/c (15)
Fermi-level density of states = 0.629 states/eV/atom
Crystal system = monoclinic
Magnetization = 0.0 μB per cell

---

Verdict on stability: arrangement b comes out on top.

---

Arrangement a

The following is a PBE calculation of crystalline Ce3US4 at its relaxed geometry, from the Alexandria database.

Cell: 5.6238 5.6238 5.6238 Å, 90.00 90.00 90.00°
With the nearest neighbours (Å) after each atom.
Fractional coordinates of all 8 atoms:
Ce 0.0000 0.0000 0.5000  6 S 2.81
Ce 0.0000 0.5000 0.0000  6 S 2.81
Ce 0.5000 0.0000 0.0000  6 S 2.81
U 0.5000 0.5000 0.5000  6 S 2.81
S 0.0000 0.0000 0.0000  6 Ce 2.81
S 0.0000 0.5000 0.5000  4 Ce 2.81, 2 U 2.81
S 0.5000 0.0000 0.5000  4 Ce 2.81, 2 U 2.81
S 0.5000 0.5000 0.0000  4 Ce 2.81, 2 U 2.81

Results
Space group = Pm-3m (221)
Fermi-level density of states = 2.086 states/eV/atom
Crystal system = cubic
Magnetization = 3.1 μB per cell

---

Arrangement b

The following is a PBE calculation of crystalline Ce3US4 at its relaxed geometry, from the Alexandria database.

Cell: 6.9144 7.9526 6.8800 Å, 90.00 109.41 90.00°
With the nearest neighbours (Å) after each atom.
Fractional coordinates of all 16 atoms:
Ce 0.0000 0.1242 0.2500  6 S 2.81-2.85
Ce 0.0000 0.3747 0.7500  6 S 2.81-2.86
Ce 0.0000 0.6253 0.2500  6 S 2.81-2.86
Ce 0.0000 0.8758 0.7500  6 S 2.81-2.85
Ce 0.5000 0.3741 0.2500  6 S 2.81-2.82
Ce 0.5000 0.6259 0.7500  6 S 2.81-2.82
U 0.5000 0.1233 0.7500  6 S 2.77-2.78
U 0.5000 0.8767 0.2500  6 S 2.77-2.78
S 0.2534 0.3714 0.5039  1 U 2.78, 5 Ce 2.81-2.86
S 0.2534 0.6286 0.0039  1 U 2.78, 5 Ce 2.81-2.86
S 0.2563 0.1220 0.9994  2 U 2.77-2.78, 4 Ce 2.81-2.85
S 0.2563 0.8780 0.4994  2 U 2.77-2.78, 4 Ce 2.81-2.85
S 0.7437 0.1220 0.5006  2 U 2.77-2.78, 4 Ce 2.81-2.85
S 0.7437 0.8780 0.0006  2 U 2.77-2.78, 4 Ce 2.81-2.85
S 0.7466 0.3714 0.9961  1 U 2.78, 5 Ce 2.81-2.86
S 0.7466 0.6286 0.4961  1 U 2.78, 5 Ce 2.81-2.86

Results
Space group = P2/c (13)
Fermi-level density of states = 2.405 states/eV/atom
Crystal system = monoclinic
Magnetization = 7.8 μB per cell

---

Verdict on stability: arrangement b comes out on top.

---

Arrangement a

The following is a PBE calculation of crystalline Ce2U3S8 at its relaxed geometry, from the Alexandria database.

Cell: 8.2458 8.2458 4.7078 Å, 90.00 90.00 110.26°
With the nearest neighbours (Å) after each atom.
Fractional coordinates of all 13 atoms:
Ce 0.2346 0.7654 0.0000  8 S 2.79-3.11
Ce 0.7654 0.2346 0.0000  8 S 2.79-3.11
U 0.2282 0.2282 0.5000  8 S 2.73-3.00
U 0.5000 0.5000 0.0000  8 S 2.78-2.82
U 0.7718 0.7718 0.5000  8 S 2.73-3.00
S 0.1238 0.8762 0.5000  2 U 2.73, 2 Ce 2.79
S 0.1403 0.3789 0.0000  3 U 2.78-2.87, 2 Ce 2.90-3.01
S 0.3789 0.1403 0.0000  3 U 2.78-2.87, 2 Ce 2.90-3.01
S 0.3847 0.6153 0.5000  4 U 2.82-3.00, 2 Ce 3.11, 1 S 3.12
S 0.6153 0.3847 0.5000  4 U 2.82-3.00, 2 Ce 3.11, 1 S 3.12
S 0.6211 0.8597 0.0000  3 U 2.78-2.87, 2 Ce 2.90-3.01
S 0.8597 0.6211 0.0000  3 U 2.78-2.87, 2 Ce 2.90-3.01
S 0.8762 0.1238 0.5000  2 U 2.73, 2 Ce 2.79

Results
Space group = Cmmm (65)
Fermi-level density of states = 1.774 states/eV/atom
Crystal system = orthorhombic
Magnetization = 10.0 μB per cell

---

Arrangement b

The following is a PBE calculation of crystalline Ce2U3S8 at its relaxed geometry, from the Alexandria database.

Cell: 8.1141 8.1141 6.6612 Å, 106.90 106.90 58.84°
With the nearest neighbours (Å) after each atom.
Fractional coordinates of all 13 atoms:
Ce 0.2361 0.2361 0.1616  6 S 2.83-2.88
Ce 0.7639 0.7639 0.8384  6 S 2.83-2.88
U 0.2436 0.7564 0.5000  6 S 2.68-2.76
U 0.5000 0.5000 0.0000  6 S 2.72-2.74
U 0.7564 0.2436 0.5000  6 S 2.68-2.76
S 0.1142 0.1142 0.4236  2 U 2.68, 1 Ce 2.83
S 0.1473 0.6083 0.0877  2 U 2.72, 2 Ce 2.86-2.88
S 0.3854 0.3854 0.5782  3 U 2.74-2.76, 1 Ce 2.87
S 0.3917 0.8527 0.9123  2 U 2.72, 2 Ce 2.86-2.88
S 0.6083 0.1473 0.0877  2 U 2.72, 2 Ce 2.86-2.88
S 0.6146 0.6146 0.4218  3 U 2.74-2.76, 1 Ce 2.87
S 0.8527 0.3917 0.9123  2 U 2.72, 2 Ce 2.86-2.88
S 0.8858 0.8858 0.5764  2 U 2.68, 1 Ce 2.83

Results
Space group = C2/m (12)
Fermi-level density of states = 1.847 states/eV/atom
Crystal system = monoclinic
Magnetization = 10.0 μB per cell

---

Verdict on stability: arrangement a comes out on top.

---

Arrangement a

The following is a PBE calculation of crystalline CeUS at its relaxed geometry, from the Alexandria database.

Cell: 7.9225 7.7058 7.1079 Å, 64.51 61.40 54.08°
With the nearest neighbours (Å) after each atom.
Fractional coordinates of all 12 atoms:
Ce 0.0555 0.0555 0.6945  4 S 2.80, 2 U 2.93
Ce 0.3055 0.3055 0.9445  4 S 2.80, 2 U 2.93
Ce 0.6945 0.6945 0.0555  4 S 2.80, 2 U 2.93
Ce 0.9445 0.9445 0.3055  4 S 2.80, 2 U 2.93
U 0.0000 0.5000 0.5000  2 S 2.72, 2 Ce 2.93
U 0.5000 0.0000 0.5000  2 S 2.72, 2 Ce 2.93
U 0.5000 0.5000 0.0000  2 S 2.72, 2 Ce 2.93
U 0.5000 0.5000 0.5000  2 S 2.72, 2 Ce 2.93
S 0.0580 0.6920 0.6920  2 U 2.72, 4 Ce 2.80
S 0.3080 0.9420 0.9420  2 U 2.72, 4 Ce 2.80
S 0.6920 0.0580 0.0580  2 U 2.72, 4 Ce 2.80
S 0.9420 0.3080 0.3080  2 U 2.72, 4 Ce 2.80

Results
Space group = Fddd (70)
Fermi-level density of states = 2.657 states/eV/atom
Crystal system = orthorhombic
Magnetization = 16.1 μB per cell

---

Arrangement b

The following is a PBE calculation of crystalline CeUS at its relaxed geometry, from the Alexandria database.

Cell: 3.7188 3.7188 5.2494 Å, 90.00 90.00 120.00°
With the nearest neighbours (Å) after each atom.
Fractional coordinates of all 3 atoms:
Ce 0.0000 0.0000 0.0000  3 U 2.63, 3 S 2.95
U 0.6667 0.3333 0.7099  3 Ce 2.63, 3 S 2.75
S 0.3333 0.6667 0.3840  3 U 2.75, 3 Ce 2.95

Results
Space group = P3m1 (156)
Fermi-level density of states = 1.933 states/eV/atom
Crystal system = trigonal
Magnetization = 1.5 μB per cell

---

Verdict on stability: arrangement b comes out on top.

---

Arrangement a

The following is a PBE calculation of crystalline CeUS3 at its relaxed geometry, from the Alexandria database.

Cell: 8.7138 8.7138 5.1626 Å, 90.00 90.00 136.17°
With the nearest neighbours (Å) after each atom.
Fractional coordinates of all 10 atoms:
Ce 0.1836 0.8164 0.0000  1 S 2.77
Ce 0.8164 0.1836 0.0000  1 S 2.77
U 0.3811 0.6189 0.5000  6 S 2.60-2.67
U 0.6189 0.3811 0.5000  6 S 2.60-2.67
S 0.0000 0.5000 0.5000  2 U 2.67
S 0.2315 0.2315 0.5000  2 U 2.60
S 0.3550 0.6450 0.0000  2 U 2.62, 1 Ce 2.77
S 0.5000 0.0000 0.5000  2 U 2.67
S 0.6450 0.3550 0.0000  2 U 2.62, 1 Ce 2.77
S 0.7685 0.7685 0.5000  2 U 2.60

Results
Space group = Cmmm (65)
Fermi-level density of states = 1.964 states/eV/atom
Crystal system = orthorhombic
Magnetization = 8.0 μB per cell

---

Arrangement b

The following is a PBE calculation of crystalline CeUS3 at its relaxed geometry, from the Alexandria database.

Cell: 7.3774 3.9569 15.1780 Å, 90.00 90.00 90.00°
With the nearest neighbours (Å) after each atom.
Fractional coordinates of all 20 atoms:
Ce 0.1151 0.2500 0.2065  7 S 2.80-3.01
Ce 0.3849 0.7500 0.7065  7 S 2.80-3.01
Ce 0.6151 0.2500 0.2935  7 S 2.80-3.01
Ce 0.8849 0.7500 0.7935  7 S 2.80-3.01
U 0.2385 0.7500 0.4594  7 S 2.75-2.89
U 0.2615 0.2500 0.9594  7 S 2.75-2.89
U 0.7385 0.7500 0.0406  7 S 2.75-2.89
U 0.7615 0.2500 0.5406  7 S 2.75-2.89
S 0.0079 0.2500 0.3977  3 U 2.77-2.83, 1 Ce 3.01
S 0.1258 0.7500 0.0670  3 U 2.75-2.89, 2 Ce 2.90
S 0.1647 0.2500 0.7812  1 U 2.80, 4 Ce 2.80-2.86
S 0.3353 0.7500 0.2812  1 U 2.80, 4 Ce 2.80-2.86
S 0.3742 0.2500 0.5670  3 U 2.75-2.89, 2 Ce 2.90
S 0.4921 0.7500 0.8977  3 U 2.77-2.83, 1 Ce 3.01
S 0.5079 0.2500 0.1023  3 U 2.77-2.83, 1 Ce 3.01
S 0.6258 0.7500 0.4330  3 U 2.75-2.89, 2 Ce 2.90
S 0.6647 0.2500 0.7188  1 U 2.80, 4 Ce 2.80-2.86
S 0.8353 0.7500 0.2188  1 U 2.80, 4 Ce 2.80-2.86
S 0.8742 0.2500 0.9330  3 U 2.75-2.89, 2 Ce 2.90
S 0.9921 0.7500 0.6023  3 U 2.77-2.83, 1 Ce 3.01

Results
Space group = Pnma (62)
Fermi-level density of states = 1.861 states/eV/atom
Crystal system = orthorhombic
Magnetization = 15.0 μB per cell

---

Verdict on stability: arrangement b comes out on top.

---

Arrangement a

The following is a PBE calculation of crystalline CeY6S8 at its relaxed geometry, from the Alexandria database.

Cell: 7.8403 7.8403 7.8403 Å, 60.00 60.00 60.00°
With the nearest neighbours (Å) after each atom.
Fractional coordinates of all 15 atoms:
Ce 0.0000 0.0000 0.0000  6 S 2.84
Y 0.0000 0.0000 0.5000  6 S 2.77
Y 0.0000 0.5000 0.0000  6 S 2.77
Y 0.0000 0.5000 0.5000  6 S 2.77
Y 0.5000 0.0000 0.0000  6 S 2.77
Y 0.5000 0.0000 0.5000  6 S 2.77
Y 0.5000 0.5000 0.0000  6 S 2.77
S 0.2500 0.2500 0.2500  6 Y 2.77
S 0.2558 0.2558 0.7442  4 Y 2.77, 1 Ce 2.84
S 0.2558 0.7442 0.2558  4 Y 2.77, 1 Ce 2.84
S 0.2558 0.7442 0.7442  4 Y 2.77, 1 Ce 2.84
S 0.7442 0.2558 0.2558  4 Y 2.77, 1 Ce 2.84
S 0.7442 0.2558 0.7442  4 Y 2.77, 1 Ce 2.84
S 0.7442 0.7442 0.2558  4 Y 2.77, 1 Ce 2.84
S 0.7500 0.7500 0.7500  6 Y 2.77

Results
Space group = Fm-3m (225)
Fermi-level density of states = 0.824 states/eV/atom
Crystal system = cubic
Magnetization = 1.5 μB per cell

---

Arrangement b

The following is a PBE calculation of crystalline CeY6S8 at its relaxed geometry, from the Alexandria database.

Cell: 7.7507 7.7507 7.7507 Å, 95.54 95.54 95.54°
With the nearest neighbours (Å) after each atom.
Fractional coordinates of all 15 atoms:
Ce 0.0000 0.0000 0.0000  2 S 2.80
Y 0.1891 0.5612 0.3719  5 S 2.65-2.80
Y 0.3719 0.1891 0.5612  5 S 2.66-2.80
Y 0.4388 0.6281 0.8109  5 S 2.65-2.80
Y 0.5612 0.3719 0.1891  5 S 2.65-2.80
Y 0.6281 0.8109 0.4388  5 S 2.65-2.80
Y 0.8109 0.4388 0.6281  5 S 2.65-2.80
S 0.1496 0.4079 0.6801  4 Y 2.65-2.80
S 0.2319 0.2319 0.2319  3 Y 2.74, 1 Ce 2.80
S 0.3199 0.8504 0.5921  4 Y 2.66-2.80
S 0.4079 0.6801 0.1496  4 Y 2.65-2.80
S 0.5921 0.3199 0.8504  4 Y 2.65-2.80
S 0.6801 0.1496 0.4079  4 Y 2.65-2.80
S 0.7681 0.7681 0.7681  3 Y 2.74, 1 Ce 2.80
S 0.8504 0.5921 0.3199  4 Y 2.65-2.80

Results
Space group = R-3 (148)
Fermi-level density of states = 1.049 states/eV/atom
Crystal system = trigonal
Magnetization = 3.9 μB per cell

---

Verdict on stability: arrangement a comes out on top.

---

Arrangement a

The following is a PBE calculation of crystalline CeYS4 at its relaxed geometry, from the Alexandria database.

Cell: 4.4107 4.4107 7.2011 Å, 90.00 90.00 90.00°
With the nearest neighbours (Å) after each atom.
Fractional coordinates of all 6 atoms:
Ce 0.0000 0.0000 0.0000  8 S 2.84
Y 0.0000 0.0000 0.5000  8 S 2.85
S 0.0000 0.5000 0.2490  2 Ce 2.84, 2 Y 2.85, 4 S 3.12
S 0.0000 0.5000 0.7510  2 Ce 2.84, 2 Y 2.85, 4 S 3.12
S 0.5000 0.0000 0.2490  2 Ce 2.84, 2 Y 2.85, 4 S 3.12
S 0.5000 0.0000 0.7510  2 Ce 2.84, 2 Y 2.85, 4 S 3.12

Results
Space group = P4/mmm (123)
Fermi-level density of states = 0.600 states/eV/atom
Crystal system = tetragonal
Magnetization = 0.1 μB per cell

---

Arrangement b

The following is a PBE calculation of crystalline CeYS4 at its relaxed geometry, from the Alexandria database.

Cell: 6.3543 6.3543 4.1646 Å, 90.00 90.00 90.22°
With the nearest neighbours (Å) after each atom.
Fractional coordinates of all 6 atoms:
Ce 0.0000 0.0000 0.0000  6 S 2.70-2.73
Y 0.5000 0.5000 0.5000  6 S 2.74
S 0.1955 0.8045 0.5000  2 Ce 2.73, 1 Y 2.74
S 0.3011 0.3011 0.0000  1 Ce 2.70, 2 Y 2.74
S 0.6989 0.6989 0.0000  1 Ce 2.70, 2 Y 2.74
S 0.8045 0.1955 0.5000  2 Ce 2.73, 1 Y 2.74

Results
Space group = Cmmm (65)
Fermi-level density of states = 1.056 states/eV/atom
Crystal system = orthorhombic
Magnetization = 0.0 μB per cell

---

Verdict on stability: arrangement b comes out on top.